No. 1
{"formula": "ScBe2Ag", "functional": "SCAN", "state": "single point on PBEsol structure", "lattice": [[3.9395, 0.0000, 0.0000], [-1.9697, 3.4117, 0.0000], [0.0000, 0.0000, 12.8751]], "species": ["Sc", "Sc", "Sc", "Be", "Be", "Be", "Be", "Be", "Be", "Ag", "Ag", "Ag"], "fractional_positions": [[0.0000, 0.0000, 0.0000], [0.3333, 0.6667, 0.6667], [0.6667, 0.3333, 0.3333], [0.0000, 0.0000, 0.2071], [0.0000, 0.0000, 0.7929], [0.3333, 0.6667, 0.4596], [0.3333, 0.6667, 0.8738], [0.6667, 0.3333, 0.1262], [0.6667, 0.3333, 0.5404], [0.0000, 0.0000, 0.5000], [0.3333, 0.6667, 0.1667], [0.6667, 0.3333, 0.8333]], "formation_energy_ev_per_atom": -0.04, "dos_at_fermi_per_ev_cell": 7.76}

***

No. 2
{"formula": "TiTlIN2", "functional": "SCAN", "state": "single point on PBEsol structure", "lattice": [[4.1010, 0.0000, 0.0000], [0.0000, 4.1010, 0.0000], [0.0000, 0.0000, 5.6341]], "species": ["Ti", "Tl", "I", "N", "N"], "fractional_positions": [[0.0000, 0.0000, 0.0000], [0.5000, 0.5000, 0.5000], [0.0000, 0.0000, 0.5000], [0.0000, 0.5000, 0.0000], [0.5000, 0.0000, 0.0000]], "e_above_lowest_polymorph_ev_per_fu": 0.00, "e_form_raw_ev_per_atom": 0.3538, "dos_at_fermi_per_ev_cell": 1.54}

***

No. 3
{"formula": "Mn2ReOs", "functional": "SCAN", "state": "single point on PBEsol structure", "lattice": [[5.9296, 0.0000, 0.0000], [0.0000, 5.9296, 0.0000], [0.0000, 0.0000, 5.9296]], "species": ["Mn", "Mn", "Mn", "Mn", "Mn", "Mn", "Mn", "Mn", "Re", "Re", "Re", "Re", "Os", "Os", "Os", "Os"], "fractional_positions": [[0.0000, 0.0000, 0.0000], [0.0000, 0.5000, 0.5000], [0.2500, 0.2500, 0.2500], [0.2500, 0.7500, 0.7500], [0.5000, 0.0000, 0.5000], [0.5000, 0.5000, 0.0000], [0.7500, 0.2500, 0.7500], [0.7500, 0.7500, 0.2500], [0.2500, 0.2500, 0.7500], [0.2500, 0.7500, 0.2500], [0.7500, 0.2500, 0.2500], [0.7500, 0.7500, 0.7500], [0.0000, 0.0000, 0.5000], [0.0000, 0.5000, 0.0000], [0.5000, 0.0000, 0.0000], [0.5000, 0.5000, 0.5000]], "formation_energy_ev_per_atom": -0.01, "dos_at_fermi_per_ev_cell": 9.40}

***

No. 4
{"formula": "K2MnTe", "functional": "SCAN", "state": "single point on PBEsol structure", "lattice": [[4.4989, 0.0000, 0.0000], [0.0000, 5.1839, 0.0000], [0.0000, 0.0000, 12.8728]], "species": ["K", "K", "K", "K", "Mn", "Mn", "Te", "Te"], "fractional_positions": [[0.0000, 0.0000, 0.0000], [0.0000, 0.5000, 0.5000], [0.5000, 0.0000, 0.2903], [0.5000, 0.5000, 0.7903], [0.0000, 0.0000, 0.6993], [0.0000, 0.5000, 0.1993], [0.5000, 0.0000, 0.5783], [0.5000, 0.5000, 0.0783]], "e_form_raw_ev_per_atom": -0.4244, "dos_at_fermi_per_ev_cell": 0.78}

***

No. 5
{"formula": "LiBe2FeCu", "functional": "SCAN", "state": "single point on PBEsol structure", "lattice": [[3.7338, 0.0000, 0.0000], [0.0000, 3.7338, 0.0000], [0.0000, 0.0000, 3.7518]], "species": ["Li", "Be", "Be", "Fe", "Cu"], "fractional_positions": [[0.0000, 0.0000, 0.0000], [0.0000, 0.5000, 0.0000], [0.5000, 0.0000, 0.0000], [0.0000, 0.0000, 0.5000], [0.5000, 0.5000, 0.5000]], "formation_energy_ev_per_atom": 1.05, "dos_at_fermi_per_ev_cell": 2.39}

***

No. 6
{"formula": "KMgAsH12O10", "functional": "SCAN", "state": "single point on PBEsol structure", "lattice": [[7.1608, 0.0000, 0.0000], [0.0000, 6.2329, 0.0000], [0.0000, 0.0000, 10.9444]], "species": ["K", "K", "Mg", "Mg", "As", "As", "H", "H", "H", "H", "H", "H", "H", "H", "H", "H", "H", "H", "H", "H", "H", "H", "H", "H", "H", "H", "H", "H", "H", "H", "O", "O", "O", "O", "O", "O", "O", "O", "O", "O", "O", "O", "O", "O", "O", "O", "O", "O", "O", "O"], "fractional_positions": [[0.0000, 0.0967, 0.0000], [0.5000, 0.9033, 0.5000], [0.0000, 0.1437, 0.3236], [0.5000, 0.8563, 0.8236], [0.0000, 0.4976, 0.7172], [0.5000, 0.5024, 0.2172], [0.1029, 0.8078, 0.4708], [0.1141, 0.4947, 0.1931], [0.1770, 0.8893, 0.6938], [0.1789, 0.6578, 0.9096], [0.1949, 0.2949, 0.5264], [0.2465, 0.8650, 0.2023], [0.2535, 0.1350, 0.7023], [0.3051, 0.7051, 0.0264], [0.3211, 0.3422, 0.4096], [0.3230, 0.1107, 0.1938], [0.3859, 0.5053, 0.6931], [0.3971, 0.1922, 0.9708], [0.6029, 0.1922, 0.9708], [0.6141, 0.5053, 0.6931], [0.6770, 0.1107, 0.1938], [0.6789, 0.3422, 0.4096], [0.6949, 0.7051, 0.0264], [0.7465, 0.1350, 0.7023], [0.7535, 0.8650, 0.2023], [0.8051, 0.2949, 0.5264], [0.8211, 0.6578, 0.9096], [0.8230, 0.8893, 0.6938], [0.8859, 0.4947, 0.1931], [0.8971, 0.8078, 0.4708], [0.0000, 0.4010, 0.2043], [0.0000, 0.5041, 0.8735], [0.0000, 0.7530, 0.6587], [0.0000, 0.8423, 0.4153], [0.1966, 0.3695, 0.6654], [0.2065, 0.0208, 0.2099], [0.2180, 0.2428, 0.4395], [0.2820, 0.7572, 0.9395], [0.2935, 0.9792, 0.7099], [0.3034, 0.6305, 0.1654], [0.5000, 0.1577, 0.9153], [0.5000, 0.2470, 0.1587], [0.5000, 0.4959, 0.3735], [0.5000, 0.5990, 0.7043], [0.6966, 0.6305, 0.1654], [0.7065, 0.9792, 0.7099], [0.7180, 0.7572, 0.9395], [0.7820, 0.2428, 0.4395], [0.7935, 0.0208, 0.2099], [0.8034, 0.3695, 0.6654]], "energy_ev_per_cell": -342.2, "dos_at_fermi_per_ev_cell": 0.00}

***

No. 7
{"formula": "YAlSi", "functional": "SCAN", "state": "single point on PBEsol structure", "lattice": [[3.9786, 0.0000, 0.0000], [0.0000, 10.1961, 0.0000], [0.0000, 0.0000, 5.6611]], "species": ["Y", "Y", "Y", "Y", "Al", "Al", "Al", "Al", "Si", "Si", "Si", "Si"], "fractional_positions": [[0.0000, 0.1954, 0.2500], [0.0000, 0.8046, 0.7500], [0.5000, 0.3046, 0.7500], [0.5000, 0.6954, 0.2500], [0.0000, 0.5000, 0.0000], [0.0000, 0.5000, 0.5000], [0.5000, 0.0000, 0.0000], [0.5000, 0.0000, 0.5000], [0.0000, 0.0993, 0.7500], [0.0000, 0.9007, 0.2500], [0.5000, 0.4007, 0.2500], [0.5000, 0.5993, 0.7500]], "e_form_raw_ev_per_atom": -0.6687, "dos_at_fermi_per_ev_cell": 3.49}

***

No. 8
{"formula": "CaLaPb2", "functional": "SCAN", "state": "single point on PBEsol structure", "lattice": [[4.6493, 0.0000, 0.0000], [0.0000, 4.6493, 0.0000], [0.0000, 0.0000, 11.0612]], "species": ["Ca", "Ca", "La", "La", "Pb", "Pb", "Pb", "Pb"], "fractional_positions": [[0.0000, 0.0000, 0.0000], [0.5000, 0.5000, 0.5000], [0.0000, 0.5000, 0.2500], [0.5000, 0.0000, 0.7500], [0.0000, 0.0000, 0.5000], [0.0000, 0.5000, 0.7500], [0.5000, 0.0000, 0.2500], [0.5000, 0.5000, 0.0000]], "formation_energy_ev_per_atom": -0.68, "dos_at_fermi_per_ev_cell": 7.82}

***

No. 9
{"formula": "CaMg2Ir", "functional": "SCAN", "state": "single point on PBEsol structure", "lattice": [[3.2663, 0.0000, 0.0000], [0.0000, 3.2663, 0.0000], [0.0000, 0.0000, 7.8217]], "species": ["Ca", "Mg", "Mg", "Ir"], "fractional_positions": [[0.0000, 0.0000, 0.0000], [0.5000, 0.5000, 0.3207], [0.5000, 0.5000, 0.6793], [0.0000, 0.0000, 0.5000]], "formation_energy_ev_per_atom": -0.24, "dos_at_fermi_per_ev_cell": 2.09}

***

No. 10
{"formula": "RbMgW2", "functional": "SCAN", "state": "single point on PBEsol structure", "lattice": [[6.7398, 0.0000, 0.0000], [0.0000, 6.7398, 0.0000], [0.0000, 0.0000, 6.7398]], "species": ["Rb", "Rb", "Rb", "Rb", "Mg", "Mg", "Mg", "Mg", "W", "W", "W", "W", "W", "W", "W", "W"], "fractional_positions": [[0.0000, 0.0000, 0.0000], [0.0000, 0.5000, 0.5000], [0.5000, 0.0000, 0.5000], [0.5000, 0.5000, 0.0000], [0.0000, 0.0000, 0.5000], [0.0000, 0.5000, 0.0000], [0.5000, 0.0000, 0.0000], [0.5000, 0.5000, 0.5000], [0.2500, 0.2500, 0.2500], [0.2500, 0.2500, 0.7500], [0.2500, 0.7500, 0.2500], [0.2500, 0.7500, 0.7500], [0.7500, 0.2500, 0.2500], [0.7500, 0.2500, 0.7500], [0.7500, 0.7500, 0.2500], [0.7500, 0.7500, 0.7500]], "formation_energy_ev_per_atom": 2.67, "dos_at_fermi_per_ev_cell": 20.80}

***

No. 11
{"formula": "Li3N", "functional": "SCAN", "state": "single point on PBEsol structure", "lattice": [[3.5192, 0.0000, 0.0000], [-1.7596, 3.0477, 0.0000], [0.0000, 0.0000, 6.2592]], "species": ["Li", "Li", "Li", "Li", "Li", "Li", "N", "N"], "fractional_positions": [[0.0000, 0.0000, 0.2500], [0.0000, 0.0000, 0.7500], [0.3333, 0.6667, 0.0767], [0.3333, 0.6667, 0.4233], [0.6667, 0.3333, 0.5767], [0.6667, 0.3333, 0.9233], [0.3333, 0.6667, 0.7500], [0.6667, 0.3333, 0.2500]], "e_above_lowest_polymorph_ev_per_fu": 0.04, "e_form_raw_ev_per_atom": -0.4760, "dos_at_fermi_per_ev_cell": 0.00}

***

No. 12
{"formula": "CrHgI3", "functional": "SCAN", "state": "single point on PBEsol structure", "lattice": [[5.4167, 0.0000, 0.0000], [0.0000, 5.4167, 0.0000], [0.0000, 0.0000, 5.4167]], "species": ["Cr", "Hg", "I", "I", "I"], "fractional_positions": [[0.0000, 0.0000, 0.0000], [0.5000, 0.5000, 0.5000], [0.0000, 0.0000, 0.5000], [0.0000, 0.5000, 0.0000], [0.5000, 0.0000, 0.0000]], "e_form_raw_ev_per_atom": -0.1791, "dos_at_fermi_per_ev_cell": 4.98}

***

No. 13
{"formula": "Sn2Ge2Sb", "functional": "SCAN", "state": "single point on PBEsol structure", "lattice": [[4.1922, 0.0000, 0.0000], [0.0000, 4.1922, 0.0000], [0.0000, 0.0000, 14.0135]], "species": ["Sn", "Sn", "Sn", "Sn", "Ge", "Ge", "Ge", "Ge", "Sb", "Sb"], "fractional_positions": [[0.0000, 0.5000, 0.2500], [0.0000, 0.5000, 0.7500], [0.5000, 0.0000, 0.2500], [0.5000, 0.0000, 0.7500], [0.0000, 0.0000, 0.0904], [0.0000, 0.0000, 0.9096], [0.5000, 0.5000, 0.4096], [0.5000, 0.5000, 0.5904], [0.0000, 0.0000, 0.5000], [0.5000, 0.5000, 0.0000]], "e_form_raw_ev_per_atom": 0.3720, "dos_at_fermi_per_ev_cell": 4.94}